This record from the Alexandria database describes crystalline ThAl2ZnAu2 at its relaxed geometry. The functional is PBE.

E_form = -504 meV per atom
DFT total energy = -25.8 eV per formula unit
D(E_F) = 0.520 states/eV per atom

a = 4.436 Å, b = 4.436 Å, c = 6.965 Å
α = 90.00°, β = 90.00°, γ = 120.00°
Fractional coordinates of all 6 atoms:
1 Th 0.000 0.000 0.000
2 Zn 0.000 0.000 0.500
3 Al 0.333 0.667 0.307
4 Al 0.667 0.333 0.693
5 Au 0.333 0.667 0.713
6 Au 0.667 0.333 0.287

=====

This record from the Alexandria database describes crystalline ThAlZn3Au at its relaxed geometry. The functional is PBE.

E_form = -96 meV per atom
DFT total energy = -18.8 eV per formula unit
D(E_F) = 0.513 states/eV per atom

a = 5.931 Å, b = 6.101 Å, c = 7.291 Å
α = 114.73°, β = 90.00°, γ = 90.00°
Fractional coordinates of all 12 atoms:
1 Au 0.750 0.677 0.353
2 Au 0.250 0.323 0.647
3 Zn 0.250 0.119 0.238
4 Zn 0.000 0.300 0.000
5 Zn 0.500 0.300 0.000
6 Zn 0.500 0.700 0.000
7 Zn 0.000 0.700 0.000
8 Zn 0.750 0.881 0.762
9 Th 0.250 0.698 0.397
10 Th 0.750 0.302 0.603
11 Al 0.750 0.081 0.163
12 Al 0.250 0.919 0.837

=====

This record from the Alexandria database describes crystalline ThAlZnAu3 at its relaxed geometry. The functional is PBE.

E_form = -338 meV per atom
DFT total energy = -24.3 eV per formula unit
D(E_F) = 0.458 states/eV per atom

a = 6.426 Å, b = 6.591 Å, c = 6.827 Å
α = 118.86°, β = 90.00°, γ = 90.00°
Fractional coordinates of all 12 atoms:
1 Th 0.750 0.297 0.594
2 Th 0.250 0.703 0.406
3 Au 0.250 0.170 0.341
4 Au 0.500 0.715 0.000
5 Au 0.000 0.285 0.000
6 Au 0.750 0.830 0.659
7 Au 0.000 0.715 0.000
8 Au 0.500 0.285 0.000
9 Zn 0.250 0.949 0.898
10 Zn 0.750 0.051 0.102
11 Al 0.750 0.625 0.250
12 Al 0.250 0.375 0.750

=====

This record from the Alexandria database describes crystalline ThAlZnAu at its relaxed geometry. The functional is PBE.

E_form = -412 meV per atom
DFT total energy = -17.4 eV per formula unit
D(E_F) = 0.364 states/eV per atom

a = 4.932 Å, b = 4.932 Å, c = 4.932 Å
α = 60.00°, β = 60.00°, γ = 60.00°
Fractional coordinates of all 4 atoms:
1 Al 0.750 0.750 0.750
2 Zn 0.500 0.500 0.500
3 Au 0.000 0.000 0.000
4 Th 0.250 0.250 0.250

=====

This record from the Alexandria database describes crystalline ThAl2ZnAu4 at its relaxed geometry. The functional is PBE.

E_form = -495 meV per atom
DFT total energy = -33.2 eV per formula unit
D(E_F) = 0.384 states/eV per atom

a = 4.433 Å, b = 4.433 Å, c = 9.430 Å
α = 76.41°, β = 76.41°, γ = 60.00°
Fractional coordinates of all 8 atoms:
1 Al 0.240 0.240 0.281
2 Al 0.760 0.760 0.719
3 Th 0.000 0.000 0.000
4 Au 0.870 0.870 0.390
5 Au 0.604 0.604 0.189
6 Au 0.130 0.130 0.610
7 Au 0.396 0.396 0.811
8 Zn 0.500 0.500 0.500

=====

This record from the Alexandria database describes crystalline Th2Al3Zn4Au at its relaxed geometry. The functional is PBE.

E_form = -402 meV per atom
DFT total energy = -38.5 eV per formula unit
D(E_F) = 0.310 states/eV per atom

a = 4.272 Å, b = 4.272 Å, c = 10.721 Å
α = 90.00°, β = 90.00°, γ = 90.00°
Fractional coordinates of all 10 atoms:
1 Al 0.500 0.000 0.868
2 Al 0.000 0.000 0.500
3 Al 0.000 0.500 0.132
4 Zn 0.500 0.000 0.639
5 Zn 0.000 0.000 0.000
6 Zn 0.500 0.500 0.000
7 Zn 0.000 0.500 0.361
8 Th 0.000 0.500 0.753
9 Th 0.500 0.000 0.247
10 Au 0.500 0.500 0.500

=====

This record from the Alexandria database describes crystalline ThAlZnAu6 at its relaxed geometry. The functional is PBE.

E_form = -266 meV per atom
DFT total energy = -34.5 eV per formula unit
D(E_F) = 0.398 states/eV per atom

a = 7.389 Å, b = 8.556 Å, c = 8.154 Å
α = 121.65°, β = 116.94°, γ = 90.00°
Fractional coordinates of all 18 atoms:
1 Au 0.996 0.246 0.992
2 Au 0.074 0.386 0.749
3 Au 0.325 0.137 0.251
4 Au 0.325 0.614 0.251
5 Au 0.675 0.863 0.749
6 Au 0.401 0.151 0.802
7 Au 0.926 0.137 0.251
8 Au 0.004 0.754 0.008
9 Au 0.599 0.849 0.198
10 Au 0.074 0.863 0.749
11 Au 0.675 0.386 0.749
12 Au 0.926 0.614 0.251
13 Th 0.285 0.535 0.570
14 Th 0.715 0.465 0.430
15 Zn 0.500 0.000 0.500
16 Zn 0.000 0.000 0.500
17 Al 0.500 0.500 0.000
18 Al 0.500 0.000 0.000

=====

This record from the Alexandria database describes crystalline Th2Al4Zn3Au at its relaxed geometry. The functional is PBE.

E_form = -451 meV per atom
DFT total energy = -41.4 eV per formula unit
D(E_F) = 0.320 states/eV per atom

a = 4.276 Å, b = 4.276 Å, c = 10.742 Å
α = 90.00°, β = 90.00°, γ = 90.00°
Fractional coordinates of all 10 atoms:
1 Zn 0.500 0.000 0.862
2 Zn 0.000 0.000 0.500
3 Zn 0.000 0.500 0.138
4 Al 0.500 0.000 0.632
5 Al 0.000 0.500 0.368
6 Al 0.500 0.500 0.000
7 Al 0.000 0.000 0.000
8 Th 0.000 0.500 0.750
9 Th 0.500 0.000 0.250
10 Au 0.500 0.500 0.500

=====

This record from the Alexandria database describes crystalline Th2ZrAl4Au3 at its relaxed geometry. The functional is PBE.

E_form = -585 meV per atom
DFT total energy = -54.0 eV per formula unit
D(E_F) = 0.543 states/eV per atom

a = 4.375 Å, b = 4.375 Å, c = 11.086 Å
α = 90.00°, β = 90.00°, γ = 90.00°
Fractional coordinates of all 10 atoms:
1 Au 0.000 0.500 0.123
2 Au 0.000 0.000 0.500
3 Au 0.500 0.000 0.877
4 Al 0.000 0.000 0.000
5 Al 0.000 0.500 0.349
6 Al 0.500 0.500 0.000
7 Al 0.500 0.000 0.651
8 Th 0.000 0.500 0.755
9 Th 0.500 0.000 0.245
10 Zr 0.500 0.500 0.500

=====

This record from the Alexandria database describes crystalline Ti3Al5Au at its relaxed geometry. The functional is PBE.

E_form = -22 meV per atom
DFT total energy = -45.9 eV per formula unit
D(E_F) = 0.616 states/eV per atom

a = 7.740 Å, b = 7.740 Å, c = 7.646 Å
α = 120.41°, β = 120.41°, γ = 90.00°
Fractional coordinates of all 18 atoms:
1 Ti 0.608 0.108 0.000
2 Ti 0.892 0.608 0.000
3 Ti 0.392 0.892 0.000
4 Ti 0.250 0.250 0.500
5 Ti 0.750 0.750 0.500
6 Ti 0.108 0.392 0.000
7 Al 0.440 0.331 0.271
8 Al 0.500 0.500 0.000
9 Al 0.669 0.169 0.729
10 Al 0.331 0.831 0.271
11 Al 0.060 0.560 0.729
12 Al 0.169 0.060 0.729
13 Al 0.831 0.940 0.271
14 Al 0.940 0.440 0.271
15 Al 0.560 0.669 0.729
16 Al 0.000 0.000 0.000
17 Au 0.750 0.250 0.500
18 Au 0.250 0.750 0.500

=====

This record from the Alexandria database describes crystalline TiAlAu at its relaxed geometry. The functional is PBE.

E_form = -428 meV per atom
DFT total energy = -16.2 eV per formula unit
D(E_F) = 0.836 states/eV per atom

a = 6.530 Å, b = 3.865 Å, c = 4.113 Å
α = 90.00°, β = 90.01°, γ = 72.78°
Last column: magnetic moment on the atom in μB.
Fractional coordinates of all 6 atoms:
1 Ti 0.966 0.453 0.168  0.26
2 Ti 0.303 0.785 0.168  0.50
3 Al 0.629 0.122 0.168  0.00
4 Al 0.976 0.948 0.668  -0.01
5 Au 0.290 0.291 0.668  0.04
6 Au 0.655 0.609 0.668  0.01

=====

This record from the Alexandria database describes crystalline TiAl2Au at its relaxed geometry. The functional is PBE.

E_form = -224 meV per atom
DFT total energy = -19.6 eV per formula unit
D(E_F) = 0.920 states/eV per atom

a = 4.509 Å, b = 4.509 Å, c = 4.509 Å
α = 60.00°, β = 60.00°, γ = 60.00°
Last column: magnetic moment on the atom in μB.
Fractional coordinates of all 4 atoms:
1 Al 0.250 0.250 0.250  0.00
2 Al 0.750 0.750 0.750  0.00
3 Ti 0.000 0.000 0.000  0.85
4 Au 0.500 0.500 0.500  -0.01

=====

This record from the Alexandria database describes crystalline Ti3Al2Au4 at its relaxed geometry. The functional is PBE.

E_form = -395 meV per atom
DFT total energy = -47.8 eV per formula unit
D(E_F) = 0.539 states/eV per atom

a = 4.553 Å, b = 4.553 Å, c = 8.484 Å
α = 90.02°, β = 90.00°, γ = 60.00°
Last column: magnetic moment on the atom in μB.
Fractional coordinates of all 9 atoms:
1 Al 0.333 0.334 0.768  -0.01
2 Al 0.667 0.666 0.232  -0.01
3 Au 0.333 0.333 0.095  0.00
4 Au 0.000 0.000 0.667  0.03
5 Au 0.000 0.000 0.333  0.03
6 Au 0.667 0.667 0.905  0.00
7 Ti 0.667 0.667 0.570  0.72
8 Ti 0.333 0.333 0.430  0.72
9 Ti 0.000 0.000 0.000  -0.05

=====

This record from the Alexandria database describes crystalline Ti4Al2Au5 at its relaxed geometry. The functional is PBE.

E_form = -329 meV per atom
DFT total energy = -59.1 eV per formula unit
D(E_F) = 1.014 states/eV per atom

a = 2.962 Å, b = 6.948 Å, c = 9.207 Å
α = 94.41°, β = 90.00°, γ = 90.00°
Fractional coordinates of all 11 atoms:
1 Au 0.000 0.432 0.693
2 Au 0.000 0.824 0.838
3 Au 0.000 0.176 0.162
4 Au 0.000 0.568 0.307
5 Au 0.000 0.500 0.000
6 Ti 0.500 0.722 0.556
7 Ti 0.500 0.171 0.892
8 Ti 0.500 0.829 0.108
9 Ti 0.500 0.278 0.444
10 Al 0.000 0.940 0.364
11 Al 0.000 0.060 0.636

=====

This record from the Alexandria database describes crystalline TiAlAu4 at its relaxed geometry. The functional is PBE.

E_form = -380 meV per atom
DFT total energy = -27.0 eV per formula unit
D(E_F) = 0.318 states/eV per atom

a = 3.503 Å, b = 4.954 Å, c = 6.933 Å
α = 102.62°, β = 75.37°, γ = 69.29°
Fractional coordinates of all 6 atoms:
1 Ti 0.000 0.000 0.000
2 Au 0.322 0.022 0.334
3 Au 0.678 0.978 0.666
4 Au 0.165 0.501 0.169
5 Au 0.835 0.499 0.831
6 Al 0.500 0.500 0.500

=====

This record from the Alexandria database describes crystalline TiAlAu3 at its relaxed geometry. The functional is PBE.

E_form = -256 meV per atom
DFT total energy = -22.8 eV per formula unit
D(E_F) = 0.418 states/eV per atom

a = 4.714 Å, b = 4.665 Å, c = 9.179 Å
α = 104.72°, β = 104.91°, γ = 90.00°
Fractional coordinates of all 10 atoms:
1 Ti 0.132 0.382 0.764
2 Ti 0.868 0.618 0.236
3 Au 0.955 0.206 0.412
4 Au 0.559 0.309 0.618
5 Au 0.211 0.961 0.922
6 Au 0.441 0.691 0.382
7 Au 0.789 0.039 0.078
8 Au 0.045 0.794 0.588
9 Al 0.366 0.116 0.232
10 Al 0.634 0.884 0.768

=====

This record from the Alexandria database describes crystalline TiAlAu at its relaxed geometry. The functional is PBE.

E_form = -341 meV per atom
DFT total energy = -15.9 eV per formula unit
D(E_F) = 0.636 states/eV per atom

a = 5.730 Å, b = 4.113 Å, c = 8.470 Å
α = 90.00°, β = 90.00°, γ = 90.00°
Fractional coordinates of all 12 atoms:
1 Al 0.838 0.750 0.899
2 Al 0.162 0.250 0.101
3 Al 0.662 0.250 0.399
4 Al 0.338 0.750 0.601
5 Au 0.436 0.750 0.280
6 Au 0.936 0.750 0.220
7 Au 0.064 0.250 0.780
8 Au 0.564 0.250 0.720
9 Ti 0.643 0.250 0.066
10 Ti 0.143 0.250 0.434
11 Ti 0.857 0.750 0.566
12 Ti 0.357 0.750 0.934

=====

This record from the Alexandria database describes crystalline TiAl2Au2 at its relaxed geometry. The functional is PBE.

E_form = -252 meV per atom
DFT total energy = -23.2 eV per formula unit
D(E_F) = 0.707 states/eV per atom

a = 3.874 Å, b = 3.874 Å, c = 6.580 Å
α = 72.88°, β = 72.88°, γ = 90.00°
Fractional coordinates of all 5 atoms:
1 Al 0.750 0.250 0.500
2 Al 0.250 0.750 0.500
3 Au 0.390 0.390 0.221
4 Au 0.610 0.610 0.779
5 Ti 0.000 0.000 0.000

=====

This record from the Alexandria database describes crystalline Ti3Al2Au at its relaxed geometry. The functional is PBE.

E_form = -396 meV per atom
DFT total energy = -36.8 eV per formula unit
D(E_F) = 1.105 states/eV per atom

a = 2.879 Å, b = 2.879 Å, c = 11.908 Å
α = 90.00°, β = 90.00°, γ = 90.00°
Fractional coordinates of all 6 atoms:
1 Ti 0.000 0.000 0.000
2 Ti 0.000 0.000 0.329
3 Ti 0.000 0.000 0.671
4 Au 0.500 0.500 0.500
5 Al 0.500 0.500 0.167
6 Al 0.500 0.500 0.833

=====

This record from the Alexandria database describes crystalline Ti3Al2Au at its relaxed geometry. The functional is PBE.

E_form = -429 meV per atom
DFT total energy = -37.0 eV per formula unit
D(E_F) = 1.060 states/eV per atom

a = 8.412 Å, b = 6.240 Å, c = 6.240 Å
α = 143.34°, β = 90.00°, γ = 90.00°
Last column: magnetic moment on the atom in μB.
Fractional coordinates of all 12 atoms:
1 Al 0.220 0.337 0.663  0.00
2 Al 0.720 0.663 0.337  0.00
3 Al 0.720 0.337 0.663  0.00
4 Al 0.220 0.663 0.337  0.00
5 Au 0.220 0.000 0.000  0.01
6 Au 0.720 0.000 0.000  0.01
7 Ti 0.970 0.830 0.170  -0.01
8 Ti 0.470 0.830 0.170  -0.01
9 Ti 0.970 0.170 0.830  -0.01
10 Ti 0.970 0.500 0.500  0.16
11 Ti 0.470 0.170 0.830  -0.01
12 Ti 0.470 0.500 0.500  0.16

=====

This record from the Alexandria database describes crystalline Ti3AlAu2 at its relaxed geometry. The functional is PBE.

E_form = -374 meV per atom
DFT total energy = -36.2 eV per formula unit
D(E_F) = 1.053 states/eV per atom

a = 2.935 Å, b = 2.935 Å, c = 11.735 Å
α = 90.00°, β = 90.00°, γ = 90.00°
Last column: magnetic moment on the atom in μB.
Fractional coordinates of all 6 atoms:
1 Ti 0.000 0.000 0.000  0.59
2 Ti 0.000 0.000 0.337  0.29
3 Ti 0.000 0.000 0.663  0.29
4 Au 0.500 0.500 0.167  0.02
5 Au 0.500 0.500 0.833  0.02
6 Al 0.500 0.500 0.500  -0.01

=====

This record from the Alexandria database describes crystalline TiAlAu at its relaxed geometry. The functional is PBE.

E_form = -169 meV per atom
DFT total energy = -15.4 eV per formula unit
D(E_F) = 0.821 states/eV per atom

a = 4.604 Å, b = 4.604 Å, c = 5.515 Å
α = 90.00°, β = 90.00°, γ = 120.00°
Fractional coordinates of all 6 atoms:
1 Al 0.667 0.333 0.750
2 Al 0.333 0.667 0.250
3 Ti 0.667 0.333 0.250
4 Ti 0.333 0.667 0.750
5 Au 0.000 0.000 0.000
6 Au 0.000 0.000 0.500

=====

This record from the Alexandria database describes crystalline TiAl3Au at its relaxed geometry. The functional is PBE.

E_form = 527 meV per atom
DFT total energy = -19.8 eV per formula unit
D(E_F) = 1.241 states/eV per atom

a = 4.797 Å, b = 4.797 Å, c = 4.797 Å
α = 90.00°, β = 90.00°, γ = 90.00°
Last column: magnetic moment on the atom in μB.
Fractional coordinates of all 5 atoms:
1 Al 0.000 0.000 0.500  -0.03
2 Al 0.000 0.500 0.000  -0.01
3 Al 0.500 0.000 0.000  0.00
4 Au 0.000 0.000 0.000  -0.01
5 Ti 0.500 0.500 0.500  1.22